Entry 1:
# LaSmN

A geometry-optimized LaSmN structure (PBE, the Alexandria database).

Unit cell a=5.1464 b=5.1464 c=6.5165 alpha=113.26 beta=113.26 gamma=90.00
Closest atoms and distances in Å follow each position.
Fractional coordinates of all 6 atoms:
La  0.7341  0.2341  0.4681  3 N 2.54-2.58
La  0.9841  0.9841  0.9681  3 N 2.54-2.58
Sm  0.5173  0.5173  0.0345  3 N 2.50-2.58
Sm  0.2673  0.7673  0.5345  3 N 2.50-2.58
N  0.7487  0.7487  0.4974  3 Sm 2.50-2.58, 3 La 2.54-2.58
N  0.4987  0.9987  0.9974  3 Sm 2.50-2.58, 3 La 2.54-2.58

SG: I4_1md (109)
DFT total energy: -6.8636 eV per atom
Energy relative to the elements, uncorrected: -0.8730 eV per atom
D(E_F): 0.88 states/eV per atom
Theoretical density: 7.03 Mg/m³

=====

Entry 2:
# LaSm2N3

A geometry-optimized LaSm2N3 structure (PBE, the Alexandria database).

Unit cell a=6.3091 b=6.3091 c=6.3125 alpha=99.58 beta=99.58 gamma=120.00
Closest atoms and distances in Å follow each position.
Fractional coordinates of all 12 atoms:
La  0.0003  0.9997  0.0000  6 N 2.61
La  0.6664  0.3336  0.0000  6 N 2.61
Sm  0.8333  0.1667  0.5000  6 N 2.54-2.59
Sm  0.3333  0.6667  0.0000  6 N 2.56-2.57
Sm  0.1683  0.8317  0.5000  6 N 2.53-2.60
Sm  0.4984  0.5016  0.5000  6 N 2.53-2.60
N  0.5755  0.9089  0.7441  4 Sm 2.53-2.59, 2 La 2.61
N  0.0911  0.4245  0.2559  4 Sm 2.53-2.59, 2 La 2.61
N  0.9210  0.5817  0.7452  4 Sm 2.54-2.60, 2 La 2.61
N  0.2484  0.2543  0.7452  4 Sm 2.54-2.60, 2 La 2.61
N  0.4183  0.0790  0.2548  4 Sm 2.54-2.60, 2 La 2.61
N  0.7457  0.7516  0.2548  4 Sm 2.54-2.60, 2 La 2.61

SG: C2/m (12)
DFT total energy: -7.9730 eV per atom
Energy relative to the elements, uncorrected: -1.4161 eV per atom
D(E_F): 0.00 states/eV per atom
Theoretical density: 7.80 Mg/m³